(1)
Material: Li2Ge4Pd3
Method: DFT, GGA-PBE
State: optimized geometry

Cell and atoms, written as CIF:
```
data_Li2Ge4Pd3
_chemical_formula_sum 'Li8 Ge16 Pd12'
_cell_length_a 5.560
_cell_length_b 9.449
_cell_length_c 12.125
_cell_angle_alpha 90.00
_cell_angle_beta 90.00
_cell_angle_gamma 90.00
_space_group_name_H-M_alt 'F m m m'
_space_group_IT_number 69
_space_group_name_Hall '-F 2 2'
loop_
_atom_site_label
_atom_site_fract_x
_atom_site_fract_y
_atom_site_fract_z
Li1 0.000 0.000 0.120
Ge1 0.000 0.169 0.334
Pd1 0.000 0.000 0.500
Pd2 0.250 0.250 0.000
```

Summary:
Formation energy: -0.33 eV/atom
Energy: -163.56 eV/cell

(2)
Material: Li2GePd5
Method: DFT, GGA-PBE
State: optimized geometry

Cell and atoms, written as CIF:
```
data_Li2GePd5
_chemical_formula_sum 'Li8 Ge4 Pd20'
_cell_length_a 6.224
_cell_length_b 6.224
_cell_length_c 11.655
_cell_angle_alpha 90.00
_cell_angle_beta 90.00
_cell_angle_gamma 90.00
_space_group_name_H-M_alt 'I 4/m c m'
_space_group_IT_number 140
_space_group_name_Hall '-I 4 2c'
loop_
_atom_site_label
_atom_site_fract_x
_atom_site_fract_y
_atom_site_fract_z
Li1 0.138 0.362 0.000
Ge1 0.000 0.000 0.250
Pd1 0.000 0.000 0.000
Pd2 0.160 0.340 0.346
```

Summary:
Formation energy: -0.40 eV/atom
Energy: -150.40 eV/cell

(3)
Material: LiGe2Pd4
Method: DFT, GGA-PBE
State: optimized geometry

Cell and atoms, written as CIF:
```
data_LiGe2Pd4
_chemical_formula_sum 'Li2 Ge4 Pd8'
_cell_length_a 7.813
_cell_length_b 7.813
_cell_length_c 3.893
_cell_angle_alpha 90.00
_cell_angle_beta 90.00
_cell_angle_gamma 90.00
_space_group_name_H-M_alt 'P 42/m n m'
_space_group_IT_number 136
_space_group_name_Hall '-P 4n 2n'
loop_
_atom_site_label
_atom_site_fract_x
_atom_site_fract_y
_atom_site_fract_z
Li1 0.000 0.000 0.000
Ge1 0.238 0.238 0.500
Pd1 0.069 0.676 0.500
```

Summary:
Formation energy: -0.47 eV/atom
Energy: -70.37 eV/cell